# CaZnCu

CaZnCu at its PBEsol-relaxed geometry (meta-GGA SCAN, Alexandria).

```
CaZnCu
1.0
4.2801 0.0000 0.0000
-2.1401 3.7067 0.0000
0.0000 0.0000 3.7422
Ca Zn Cu
1 1 1
direct
0.0000 0.0000 0.0000
0.6667 0.3333 0.5000
0.3333 0.6667 0.5000
```

Values from the calculation:
* formation energy: -0.21 eV/atom
* V: 19.790 A^3/atom
* crystal system: hexagonal

# Li2MnCoO4

Li2MnCoO4 at its PBEsol-relaxed geometry (meta-GGA SCAN, Alexandria).

```
Li2MnCoO4
1.0
4.7369 -1.4156 0.0000
4.7369 1.4156 0.0000
-0.8849 0.0000 4.8126
Li Mn Co O
2 1 1 4
direct
0.2474 0.2474 0.2430
0.7526 0.7526 0.7570
0.0000 0.0000 0.5000
0.5000 0.5000 0.0000
0.1102 0.1102 0.8657
0.3881 0.3881 0.6305
0.6119 0.6119 0.3695
0.8898 0.8898 0.1343
```

Values from the calculation:
* polymorph energy (0 for the lowest one): 26 meV per atom
* V: 8.068 A^3/atom
* crystal system: monoclinic
* E_form (uncorrected): -2013 meV/atom

Number 1: energy -39.014 eV/f.u.. Number 2: energy -81.365 eV/f.u..